! InTc3C (PBE, optimized geometry); values from VASP
&SYSTEM
  ibrav = 0, nat = 5, ntyp = 3
/
ATOMIC_SPECIES
In 114.82 In.upf
Tc 98.00 Tc.upf
C 12.01 C.upf
ATOMIC_POSITIONS angstrom
In 0.0000 0.0000 0.0000
Tc 0.0000 0.0000 2.4202
Tc 0.0000 2.4202 0.0000
Tc 2.4202 0.0000 0.0000
C 2.4202 2.4202 2.4202
CELL_PARAMETERS angstrom
4.8403 0.0000 0.0000
0.0000 4.8403 0.0000
0.0000 0.0000 4.8403
! Polymorph energy (0 for the lowest one), kJ/mol of atoms: 350.0
! Calculated volume, Å³/cell: 113
! ΔE_f, eV per atom: 3.80

! La2ZnPt (PBE, optimized geometry); values from VASP
&SYSTEM
  ibrav = 0, nat = 4, ntyp = 3
/
ATOMIC_SPECIES
La 138.91 La.upf
Zn 65.41 Zn.upf
Pt 195.08 Pt.upf
ATOMIC_POSITIONS angstrom
La 0.0000 0.0000 0.0000
La 0.0000 0.0000 3.4168
Zn 0.0000 0.0000 14.2145
Pt 0.0000 0.0000 7.8768
CELL_PARAMETERS angstrom
2.2712 1.3113 6.2352
-2.2712 1.3113 6.2352
0.0000 -2.6225 6.2352
! Calculated volume, Å³/cell: 111
! ΔE_f, eV per atom: -0.64

! ScFeTc2 (PBE, optimized geometry); values from VASP
&SYSTEM
  ibrav = 0, nat = 4, ntyp = 3
/
ATOMIC_SPECIES
Sc 44.96 Sc.upf
Fe 55.84 Fe.upf
Tc 98.00 Tc.upf
ATOMIC_POSITIONS angstrom
Sc 0.0000 0.0000 0.0000
Fe 0.0687 2.1643 3.8295
Tc 0.8681 0.0000 2.4939
Tc 1.8084 2.1643 1.4165
CELL_PARAMETERS angstrom
2.7798 0.0000 0.0000
0.0000 4.3285 0.0000
-0.9972 0.0000 5.0239
! Polymorph energy (0 for the lowest one), kJ/mol of atoms: 8.4
! Calculated volume, Å³/cell: 60
! ΔE_f, eV per atom: 0.04

! Na3LaTc (PBE, optimized geometry); values from VASP
&SYSTEM
  ibrav = 0, nat = 10, ntyp = 3
/
ATOMIC_SPECIES
Na 22.99 Na.upf
La 138.91 La.upf
Tc 98.00 Tc.upf
ATOMIC_POSITIONS angstrom
Na -3.9294 -0.4993 8.1210
Na -1.5323 -1.2287 5.4140
Na -0.2980 1.9414 5.4140
Na 1.8302 -0.7126 5.4140
Na 2.3971 -3.1533 8.1210
Na 1.5323 3.6526 8.1210
La 0.0000 0.0000 0.7409
La 0.0000 0.0000 8.8620
Tc 0.0000 0.0000 2.9575
Tc 0.0000 0.0000 11.0786
CELL_PARAMETERS angstrom
4.2273 2.4406 5.4140
-4.2273 2.4406 5.4140
0.0000 -4.8813 5.4140
! Polymorph energy (0 for the lowest one), kJ/mol of atoms: 50.2
! Calculated volume, Å³/cell: 335
! ΔE_f, eV per atom: 0.55

! CaBr2F (PBE, optimized geometry); values from VASP
&SYSTEM
  ibrav = 0, nat = 4, ntyp = 3
/
ATOMIC_SPECIES
Ca 40.08 Ca.upf
Br 79.90 Br.upf
F 19.00 F.upf
ATOMIC_POSITIONS angstrom
Ca 0.0000 0.0000 0.0000
Br 0.0000 0.0000 2.9962
Br 0.0000 0.0000 8.1756
F 0.0000 0.0000 5.5859
CELL_PARAMETERS angstrom
2.6597 1.5356 3.7239
-2.6597 1.5356 3.7239
0.0000 -3.0711 3.7239
! Polymorph energy (0 for the lowest one), kJ/mol of atoms: 1.7
! Calculated volume, Å³/cell: 91
! E_form (uncorrected), eV per atom: -1.49

! SeF (PBE, optimized geometry); values from VASP
&SYSTEM
  ibrav = 0, nat = 2, ntyp = 2
/
ATOMIC_SPECIES
Se 78.96 Se.upf
F 19.00 F.upf
ATOMIC_POSITIONS angstrom
Se 0.0000 0.0000 0.0000
F 1.4021 1.4021 1.4021
CELL_PARAMETERS angstrom
0.0000 2.8041 2.8041
2.8041 0.0000 2.8041
2.8041 2.8041 0.0000
! Polymorph energy (0 for the lowest one), kJ/mol of atoms: 137.1
! Calculated volume, Å³/cell: 44
! E_form (uncorrected), eV per atom: 0.36

! LiGeSbTe2 (PBE, optimized geometry); values from VASP
&SYSTEM
  ibrav = 0, nat = 5, ntyp = 4
/
ATOMIC_SPECIES
Li 6.94 Li.upf
Ge 72.64 Ge.upf
Sb 121.76 Sb.upf
Te 127.60 Te.upf
ATOMIC_POSITIONS angstrom
Li 0.0000 0.0000 0.0000
Ge 2.6189 2.6189 2.3913
Sb 0.0000 0.0000 2.3913
Te 0.0000 2.6189 0.0000
Te 2.6189 0.0000 0.0000
CELL_PARAMETERS angstrom
5.2377 0.0000 0.0000
0.0000 5.2377 0.0000
0.0000 0.0000 4.7826
! Polymorph energy (0 for the lowest one), kJ/mol of atoms: 8.3
! Calculated volume, Å³/cell: 131
! E_form (uncorrected), eV per atom: 0.35

! NiICl2 (PBE, optimized geometry); values from VASP
&SYSTEM
  ibrav = 0, nat = 4, ntyp = 3
/
ATOMIC_SPECIES
Ni 58.69 Ni.upf
I 126.90 I.upf
Cl 35.45 Cl.upf
ATOMIC_POSITIONS angstrom
Ni 0.0000 0.0000 0.0000
I 3.5528 3.5528 3.5528
Cl 1.7764 1.7764 1.7764
Cl 5.3293 5.3293 5.3293
CELL_PARAMETERS angstrom
0.0000 3.5528 3.5528
3.5528 0.0000 3.5528
3.5528 3.5528 0.0000
! Polymorph energy (0 for the lowest one), kJ/mol of atoms: 109.2
! Calculated volume, Å³/cell: 90
! E_form (uncorrected), eV per atom: 0.77

! FeIr2 (PBE, optimized geometry); values from VASP
&SYSTEM
  ibrav = 0, nat = 3, ntyp = 2
/
ATOMIC_SPECIES
Fe 55.84 Fe.upf
Ir 192.22 Ir.upf
ATOMIC_POSITIONS angstrom
Fe 0.0000 0.0000 0.0000
Ir 0.0000 2.0245 1.4192
Ir 2.0245 0.0000 1.4192
CELL_PARAMETERS angstrom
4.0490 0.0000 0.0000
0.0000 4.0490 0.0000
0.0000 0.0000 2.8384
! Calculated volume, Å³/cell: 47
! ΔE_f, eV per atom: 0.54

! SmSc2Te (PBE, optimized geometry); values from VASP
&SYSTEM
  ibrav = 0, nat = 4, ntyp = 3
/
ATOMIC_SPECIES
Sm 150.36 Sm.upf
Sc 44.96 Sc.upf
Te 127.60 Te.upf
ATOMIC_POSITIONS angstrom
Sm 0.0000 0.0000 0.0000
Sc 0.0000 0.0000 6.5872
Sc 0.0000 0.0000 11.9539
Te 0.0000 0.0000 23.1704
CELL_PARAMETERS angstrom
1.8806 1.0858 9.2626
-1.8806 1.0858 9.2626
0.0000 -2.1715 9.2626
! Polymorph energy (0 for the lowest one), kJ/mol of atoms: 19.7
! Calculated volume, Å³/cell: 113
! E_form (uncorrected), eV per atom: -0.41

! MgVCo2 (PBE, optimized geometry); values from VASP
&SYSTEM
  ibrav = 0, nat = 4, ntyp = 3
/
ATOMIC_SPECIES
Mg 24.30 Mg.upf
V 50.94 V.upf
Co 58.93 Co.upf
ATOMIC_POSITIONS angstrom
Mg 0.0000 0.0000 0.0000
V 0.0000 0.0000 3.1070
Co 1.4476 1.4476 1.7917
Co 1.4476 1.4476 4.4224
CELL_PARAMETERS angstrom
2.8952 0.0000 0.0000
0.0000 2.8952 0.0000
0.0000 0.0000 6.2140
! Calculated volume, Å³/cell: 52
! ΔE_f, eV per atom: -0.10

! KTcSe2 (PBE, optimized geometry); values from VASP
&SYSTEM
  ibrav = 0, nat = 4, ntyp = 3
/
ATOMIC_SPECIES
K 39.10 K.upf
Tc 98.00 Tc.upf
Se 78.96 Se.upf
ATOMIC_POSITIONS angstrom
K 0.0000 0.0000 0.0000
Tc 0.0000 0.0000 11.1482
Se 0.0000 0.0000 5.0733
Se 0.0000 0.0000 17.2231
CELL_PARAMETERS angstrom
1.9238 1.1107 7.4321
-1.9238 1.1107 7.4321
0.0000 -2.2214 7.4321
! Polymorph energy (0 for the lowest one), kJ/mol of atoms: 0.0
! Calculated volume, Å³/cell: 95
! E_form (uncorrected), eV per atom: -0.49

Q: What is the calculated volume in the ninth record?
A: 47 Å³/cell

Q: Which of these has the lowest calculated volume?
A: SeF

Q: Look up the calculated volume of the tenth one.
A: 113 Å³/cell